Density functional theory data (GGA-PBE) for crystalline Pu2F5 at its relaxed geometry. Values from VASP.

Results
* crystal system: monoclinic

The structure in Quantum ESPRESSO input format:
```
&SYSTEM
  ibrav = 0, nat = 14, ntyp = 2
/
ATOMIC_SPECIES
F 19.00 F.upf
Pu 244.00 Pu.upf
ATOMIC_POSITIONS crystal
F 0.736 0.092 0.069
F 0.186 0.374 0.167
F 0.339 0.661 0.250
F 0.626 0.814 0.333
F 0.908 0.264 0.431
F 0.092 0.736 0.569
F 0.374 0.186 0.667
F 0.661 0.339 0.750
F 0.814 0.626 0.833
F 0.264 0.908 0.931
Pu 0.805 0.418 0.084
Pu 0.582 0.195 0.416
Pu 0.418 0.805 0.584
Pu 0.195 0.582 0.916
CELL_PARAMETERS angstrom
-4.221 -3.742 3.738
-1.580 -6.456 1.270
5.017 0.749 4.548
```


Density functional theory data (GGA-PBE) for crystalline HfZnFePb at its relaxed geometry. Values from VASP.

Results
* crystal system: cubic

The structure in Quantum ESPRESSO input format:
```
&SYSTEM
  ibrav = 0, nat = 4, ntyp = 4
/
ATOMIC_SPECIES
Fe 55.84 Fe.upf
Hf 178.49 Hf.upf
Pb 207.20 Pb.upf
Zn 65.41 Zn.upf
ATOMIC_POSITIONS crystal
Fe 0.750 0.750 0.750
Hf 0.500 0.500 0.500
Pb 0.000 0.000 0.000
Zn 0.250 0.250 0.250
CELL_PARAMETERS angstrom
2.874 -2.014 3.073
-1.531 -1.062 4.276
-0.633 -4.460 1.209
```


Density functional theory data (GGA-PBE) for crystalline Zr4FeSbC2 at its relaxed geometry. Values from VASP.

Results
* crystal system: hexagonal

The structure in Quantum ESPRESSO input format:
```
&SYSTEM
  ibrav = 0, nat = 8, ntyp = 4
/
ATOMIC_SPECIES
C 12.01 C.upf
Fe 55.84 Fe.upf
Sb 121.76 Sb.upf
Zr 91.22 Zr.upf
ATOMIC_POSITIONS crystal
C 0.000 0.000 0.260
C 0.000 0.000 0.740
Fe 0.333 0.667 0.500
Sb 0.667 0.333 0.000
Zr 0.333 0.667 0.171
Zr 0.667 0.333 0.359
Zr 0.667 0.333 0.641
Zr 0.333 0.667 0.829
CELL_PARAMETERS angstrom
-0.178 -0.825 3.248
2.423 -1.291 -1.929
8.204 10.673 3.160
```


Density functional theory data (GGA-PBE) for crystalline LiTmSO at its relaxed geometry. Values from VASP.

Results
* crystal system: monoclinic

The structure in Quantum ESPRESSO input format:
```
&SYSTEM
  ibrav = 0, nat = 16, ntyp = 4
/
ATOMIC_SPECIES
Li 6.94 Li.upf
O 16.00 O.upf
S 32.06 S.upf
Tm 168.93 Tm.upf
ATOMIC_POSITIONS crystal
Li 0.929 0.235 0.096
Li 0.071 0.735 0.404
Li 0.929 0.265 0.596
Li 0.071 0.765 0.904
O 0.636 0.349 0.104
O 0.364 0.849 0.396
O 0.636 0.151 0.604
O 0.364 0.651 0.896
S 0.798 0.898 0.133
S 0.202 0.398 0.367
S 0.798 0.602 0.633
S 0.202 0.102 0.867
Tm 0.524 0.621 0.229
Tm 0.476 0.121 0.271
Tm 0.524 0.879 0.729
Tm 0.476 0.379 0.771
CELL_PARAMETERS angstrom
6.083 0.000 -0.162
0.000 7.037 0.000
-0.826 0.000 6.231
```


Density functional theory data (GGA-PBE) for crystalline Nd2Au2O5 at its relaxed geometry. Values from VASP.

Results
* crystal system: tetragonal

The structure in Quantum ESPRESSO input format:
```
&SYSTEM
  ibrav = 0, nat = 9, ntyp = 3
/
ATOMIC_SPECIES
Au 196.97 Au.upf
Nd 144.24 Nd.upf
O 16.00 O.upf
ATOMIC_POSITIONS crystal
Au 0.000 0.000 0.000
Au 0.500 0.000 0.000
Nd 0.254 0.500 0.500
Nd 0.746 0.500 0.500
O 0.138 0.500 0.000
O 0.862 0.500 0.000
O 0.138 0.000 0.500
O 0.862 0.000 0.500
O 0.500 0.500 0.500
CELL_PARAMETERS angstrom
-3.675 -3.382 -7.882
3.671 -0.622 -1.445
-0.002 -3.670 1.575
```


Density functional theory data (GGA-PBE) for crystalline BaSmSi3Au at its relaxed geometry. Values from VASP.

Results
* crystal system: orthorhombic

The structure in Quantum ESPRESSO input format:
```
&SYSTEM
  ibrav = 0, nat = 12, ntyp = 4
/
ATOMIC_SPECIES
Au 196.97 Au.upf
Ba 137.33 Ba.upf
Si 28.09 Si.upf
Sm 150.36 Sm.upf
ATOMIC_POSITIONS crystal
Au 0.661 0.661 0.339
Au 0.339 0.339 0.661
Ba 0.250 0.250 0.250
Ba 0.750 0.750 0.750
Si 0.842 0.842 0.158
Si 0.833 0.324 0.167
Si 0.676 0.167 0.324
Si 0.324 0.833 0.676
Si 0.167 0.676 0.833
Si 0.158 0.158 0.842
Sm 0.236 0.764 0.236
Sm 0.764 0.236 0.764
CELL_PARAMETERS angstrom
0.000 4.557 7.378
4.196 0.000 7.378
4.196 4.557 0.000
```


Density functional theory data (GGA-PBE) for crystalline NdZrBe2Ge2 at its relaxed geometry. Values from VASP.

Results
* crystal system: trigonal

The structure in Quantum ESPRESSO input format:
```
&SYSTEM
  ibrav = 0, nat = 6, ntyp = 4
/
ATOMIC_SPECIES
Be 9.01 Be.upf
Ge 72.64 Ge.upf
Nd 144.24 Nd.upf
Zr 91.22 Zr.upf
ATOMIC_POSITIONS crystal
Be 0.667 0.333 0.222
Be 0.333 0.667 0.778
Ge 0.333 0.667 0.232
Ge 0.667 0.333 0.768
Nd 0.000 0.000 0.500
Zr 0.000 0.000 0.000
CELL_PARAMETERS angstrom
3.872 0.000 0.000
-1.936 3.353 0.000
0.000 0.000 8.005
```


Density functional theory data (GGA-PBE) for crystalline NaUMo at its relaxed geometry. Values from VASP.

Results
* crystal system: cubic

The structure in Quantum ESPRESSO input format:
```
&SYSTEM
  ibrav = 0, nat = 3, ntyp = 3
/
ATOMIC_SPECIES
Mo 95.94 Mo.upf
Na 22.99 Na.upf
U 238.03 U.upf
ATOMIC_POSITIONS crystal
Mo 0.000 0.000 0.000
Na 0.250 0.250 0.250
U 0.750 0.750 0.750
CELL_PARAMETERS angstrom
-2.207 -3.892 0.768
-4.539 -0.079 -0.029
-2.212 -2.061 -3.386
```


What did we get for E? Answer: -123.9, -22.2, -69.2, -100.7, -52.6, -59.8, -33.9, -19.2 eV/cell, in the order shown.